A plane-wave DFT calculation with PBE was carried out for an optimized crystal structure of NaGaPt2. Values from VASP.

## Properties
**ΔE_f**: -0.288 eV per atom
**Density**: 11034 kg/m3
**Symmetry**: No. 129

```
&SYSTEM
  ibrav = 0, nat = 8, ntyp = 3
/
ATOMIC_SPECIES
Na 22.99 Na.upf
Ga 69.72 Ga.upf
Pt 195.08 Pt.upf
CELL_PARAMETERS angstrom
3.947 0.000 0.000
0.000 3.947 0.000
0.000 0.000 9.330
ATOMIC_POSITIONS crystal
Na 0.000 0.500 0.772
Ga 0.000 0.500 0.325
Na 0.500 0.000 0.228
Pt 0.500 0.000 0.936
Ga 0.500 0.000 0.675
Pt 0.500 0.500 0.500
Pt 0.000 0.000 0.500
Pt 0.000 0.500 0.064
```